[1]
# PbWAu3, optimized geometry, DFT PBE
data_PbWAu3
_chemical_formula_sum 'Pb1 W1 Au3'
_space_group_name_H-M_alt 'P 1'
_space_group_IT_number 1
_cell_length_a 5.096
_cell_length_b 5.096
_cell_length_c 5.096
_cell_angle_alpha 90.00
_cell_angle_beta 90.00
_cell_angle_gamma 90.00
loop_
_space_group_symop_operation_xyz
'x,y,z'
loop_
_atom_site_label
_atom_site_type_symbol
_atom_site_fract_x
_atom_site_fract_y
_atom_site_fract_z
_atom_site_occupancy
Pb1 Pb 0.000 0.000 0.000 1
W1 W 0.500 0.500 0.500 1
Au1 Au 0.000 0.500 0.500 1
Au2 Au 0.500 0.000 0.500 1
Au3 Au 0.500 0.500 0.000 1
# * formation enthalpy at 0 K: 0.91 eV per atom
# * E above lowest polymorph: 0.000 eV/atom
# * calculated volume: 132.3 Å³/cell
# * calculated total energy: -21.92 eV/cell

---

[2]
# CdAg3F, optimized geometry, DFT PBE
data_CdAg3F
_chemical_formula_sum 'Cd1 Ag3 F1'
_space_group_name_H-M_alt 'P 1'
_space_group_IT_number 1
_cell_length_a 4.650
_cell_length_b 4.650
_cell_length_c 4.650
_cell_angle_alpha 90.00
_cell_angle_beta 90.00
_cell_angle_gamma 90.00
loop_
_space_group_symop_operation_xyz
'x,y,z'
loop_
_atom_site_label
_atom_site_type_symbol
_atom_site_fract_x
_atom_site_fract_y
_atom_site_fract_z
_atom_site_occupancy
Cd1 Cd 0.000 0.000 0.000 1
Ag1 Ag 0.000 0.500 0.500 1
Ag2 Ag 0.500 0.000 0.500 1
Ag3 Ag 0.500 0.500 0.000 1
F1 F 0.500 0.500 0.500 1
# * E above lowest polymorph: 0.000 eV/atom
# * calculated volume: 100.5 Å³/cell
# * raw formation energy: -102 meV per atom
# * calculated total energy: -11.85 eV/cell

---

Repeat the first record exactly.
# PbWAu3, optimized geometry, DFT PBE
data_PbWAu3
_chemical_formula_sum 'Pb1 W1 Au3'
_space_group_name_H-M_alt 'P 1'
_space_group_IT_number 1
_cell_length_a 5.096
_cell_length_b 5.096
_cell_length_c 5.096
_cell_angle_alpha 90.00
_cell_angle_beta 90.00
_cell_angle_gamma 90.00
loop_
_space_group_symop_operation_xyz
'x,y,z'
loop_
_atom_site_label
_atom_site_type_symbol
_atom_site_fract_x
_atom_site_fract_y
_atom_site_fract_z
_atom_site_occupancy
Pb1 Pb 0.000 0.000 0.000 1
W1 W 0.500 0.500 0.500 1
Au1 Au 0.000 0.500 0.500 1
Au2 Au 0.500 0.000 0.500 1
Au3 Au 0.500 0.500 0.000 1
# * formation enthalpy at 0 K: 0.91 eV per atom
# * E above lowest polymorph: 0.000 eV/atom
# * calculated volume: 132.3 Å³/cell
# * calculated total energy: -21.92 eV/cell

---

Q: What is the formula in the second record?
A: CdAg3F